Below is La2PrDy2 after structural relaxation, with properties calculated at the PBE level.

space group: No. 140
E above lowest polymorph: 111 kJ/mol of formula units

Cell and atoms, written as extended XYZ:
```
10
Lattice="-5.3605 5.3605 3.2132 5.3605 -5.3605 3.2132 5.3605 5.3605 -3.2132" Properties=species:S:1:pos:R:3 pbc="T T T"
La 6.5305 1.1700 0.0000
La 1.1700 4.1905 0.0000
La 4.1905 1.1700 3.2132
La -1.1700 4.1905 3.2132
Pr 0.0000 0.0000 1.6066
Pr 0.0000 0.0000 4.8198
Dy 3.3314 2.0291 0.0000
Dy 3.3314 -2.0291 3.2132
Dy 2.0291 7.3896 0.0000
Dy 2.0291 3.3314 3.2132
```

=====

Below is La2PrDy after structural relaxation, with properties calculated at the PBE level.

space group: No. 123
E above lowest polymorph: 0 kJ/mol of formula units

Cell and atoms, written as extended XYZ:
```
4
Lattice="5.2161 0.0000 0.0000 0.0000 5.2161 0.0000 0.0000 0.0000 5.1691" Properties=species:S:1:pos:R:3 pbc="T T T"
La 0.0000 2.6080 0.0000
La 2.6080 0.0000 0.0000
Pr 0.0000 0.0000 2.5846
Dy 2.6080 2.6080 2.5846
```

=====

Below is La4Pr2Dy5 after structural relaxation, with properties calculated at the PBE level.

space group: No. 12

Cell and atoms, written as extended XYZ:
```
11
Lattice="9.7281 -2.8957 0.0000 9.7281 2.8957 0.0000 -0.0920 0.0000 6.7597" Properties=species:S:1:pos:R:3 pbc="T T T"
La 0.3693 0.0000 1.9545
La 5.8614 0.0000 6.2212
La 13.5027 0.0000 0.5385
La 18.9948 0.0000 4.8052
Pr 7.7525 0.0000 3.0041
Pr 11.6116 0.0000 3.7556
Dy 2.4607 0.0000 6.0046
Dy 4.0458 0.0000 2.7203
Dy 9.7281 0.0000 0.0000
Dy 15.3183 0.0000 4.0395
Dy 16.9034 0.0000 0.7551
```

=====

Values for E_tot, eV/atom, ordered as above
-4.338 -4.798 -4.660